Entry from Alexandria: a relaxed SrCo2Ru crystal (GGA-PBEsol).

Calculated values
raw total energy: -5.955 eV per atom
space-group type: F-43m (216)
size of the total moment: 4.01 Bohr magnetons per cell
crystal system: cubic
DFT formation energy: 3.67 eV per formula unit

a b c (Å): 4.427 4.427 4.427
angles (deg): 60.00 60.00 60.00
Positions (direct):
Sr 0.000 0.000 0.000
Co 0.250 0.250 0.250
Co 0.500 0.500 0.500
Ru 0.750 0.750 0.750